Entry from Alexandria: an optimized crystal structure of NaErF2 (PBE).

Results
The calculation puts the formation energy from raw total energies at -52.51 kcal/mol of atoms. As for the crystal system: trigonal. The calculation puts the density of states at the Fermi level at 1.411 states/eV/cell.

Cell lengths 3.2957, 3.2957, 8.1070 Å; angles 78.27, 78.27, 60.00 degrees
Fractional positions:
1 Na 0.0000 0.0000 0.0000
2 F 0.1030 0.1030 0.6910
3 F 0.8970 0.8970 0.3090
4 Er 0.5000 0.5000 0.5000

---

Entry from Alexandria: an optimized crystal structure of NaAcPaO4 (PBE).

Results
The calculation puts the formation energy from raw total energies at -67.23 kcal/mol of atoms. As for the crystal system: orthorhombic. The calculation puts the density of states at the Fermi level at 7.516 states/eV/cell.

Cell lengths 7.1451, 7.4638, 7.7549 Å; angles 121.30, 90.00, 118.60 degrees
Each line ends with the local moment (μB).
Fractional positions:
1 Na 0.9065 0.8130 0.1565  0.01
2 Na 0.0935 0.1870 0.8435  0.01
3 Ac 0.5000 0.0000 0.5000  0.04
4 Ac 0.5000 0.0000 0.0000  0.04
5 Pa 0.5000 0.5000 0.5000  0.59
6 Pa 0.0000 0.5000 0.5000  0.59
7 O 0.7375 0.4749 0.6683  -0.01
8 O 0.3141 0.0825 0.2912  -0.01
9 O 0.7684 0.0825 0.2912  -0.01
10 O 0.7375 0.4749 0.3066  -0.01
11 O 0.2625 0.5251 0.6934  -0.01
12 O 0.6859 0.9175 0.7088  -0.01
13 O 0.2316 0.9175 0.7088  -0.01
14 O 0.2625 0.5251 0.3317  -0.01

---

Entry from Alexandria: an optimized crystal structure of TlNi2Pd2 (PBE).

Results
As for the distance to the lowest polymorph of the same formula: 126.5 meV per atom. As for the crystal system: tetragonal. The calculation puts the formation energy at 0.269 eV/atom. The calculation puts the density of states at the Fermi level at 7.783 states/eV/cell.

Cell lengths 3.8130, 3.8130, 6.2914 Å; angles 72.36, 72.36, 90.00 degrees
Each line ends with the local moment (μB).
Fractional positions:
1 Ni 0.4004 0.4004 0.1991  0.67
2 Ni 0.5996 0.5996 0.8009  0.67
3 Tl 0.0000 0.0000 0.0000  0.01
4 Pd 0.7500 0.2500 0.5000  0.20
5 Pd 0.2500 0.7500 0.5000  0.20

---

Entry from Alexandria: an optimized crystal structure of Ca3LaOs (PBE).

Results
As for the distance to the lowest polymorph of the same formula: 1580.9 meV per atom. As for the crystal system: cubic. The calculation puts the formation energy at 2.005 eV/atom. The calculation puts the density of states at the Fermi level at 23.296 states/eV/cell.

Cell lengths 5.4250, 5.4250, 5.4250 Å; angles 90.00, 90.00, 90.00 degrees
Fractional positions:
1 Ca 0.0000 0.5000 0.0000
2 Ca 0.0000 0.0000 0.5000
3 Ca 0.5000 0.0000 0.0000
4 Os 0.5000 0.5000 0.5000
5 La 0.0000 0.0000 0.0000

---

Entry from Alexandria: an optimized crystal structure of Ac2CdSn3Pd4 (PBE).

Results
As for the crystal system: tetragonal. The calculation puts the formation energy at -0.767 eV/atom. The calculation puts the density of states at the Fermi level at 5.631 states/eV/cell.

Cell lengths 4.6745, 4.6745, 10.9422 Å; angles 90.00, 90.00, 90.00 degrees
Fractional positions:
1 Ac 0.5000 0.0000 0.2449
2 Ac 0.0000 0.5000 0.7551
3 Cd 0.5000 0.5000 0.5000
4 Sn 0.0000 0.0000 0.5000
5 Sn 0.5000 0.0000 0.8763
6 Sn 0.0000 0.5000 0.1237
7 Pd 0.5000 0.5000 0.0000
8 Pd 0.0000 0.0000 0.0000
9 Pd 0.5000 0.0000 0.6345
10 Pd 0.0000 0.5000 0.3655

---

Entry from Alexandria: an optimized crystal structure of SmMgHg2 (PBE).

Results
As for the distance to the lowest polymorph of the same formula: 89.5 meV per atom. As for the crystal system: tetragonal. The calculation puts the formation energy at -0.377 eV/atom. The calculation puts the density of states at the Fermi level at 1.896 states/eV/cell.

Cell lengths 3.8086, 5.1064, 5.1064 Å; angles 90.00, 90.00, 90.00 degrees
Fractional positions:
1 Mg 0.5000 0.0000 0.0000
2 Hg 0.0000 0.0000 0.5000
3 Hg 0.0000 0.5000 0.0000
4 Sm 0.5000 0.5000 0.5000

---

Entry from Alexandria: an optimized crystal structure of Ho4Tl2InRh (PBE).

Results
As for the crystal system: trigonal. The calculation puts the formation energy at -0.461 eV/atom. The calculation puts the density of states at the Fermi level at 3.952 states/eV/cell.

Cell lengths 5.2484, 5.2484, 8.9350 Å; angles 72.92, 72.92, 60.00 degrees
Fractional positions:
1 Ho 0.3861 0.3861 0.8418
2 Ho 0.8684 0.8684 0.3949
3 Ho 0.1316 0.1316 0.6051
4 Ho 0.6139 0.6139 0.1582
5 Tl 0.7445 0.7445 0.7664
6 Tl 0.2555 0.2555 0.2336
7 In 0.0000 0.0000 0.0000
8 Rh 0.5000 0.5000 0.5000

---

Entry from Alexandria: an optimized crystal structure of LiTbEu2 (PBE).

Results
As for the distance to the lowest polymorph of the same formula: 111.8 meV per atom. As for the crystal system: cubic. The calculation puts the formation energy at 0.212 eV/atom. The calculation puts the density of states at the Fermi level at 4.003 states/eV/cell.

Cell lengths 5.8205, 5.8205, 5.8205 Å; angles 60.00, 60.00, 60.00 degrees
Each line ends with the local moment (μB).
Fractional positions:
1 Eu 0.2500 0.2500 0.2500  -6.91
2 Eu 0.7500 0.7500 0.7500  -6.91
3 Tb 0.0000 0.0000 0.0000  -0.29
4 Li 0.5000 0.5000 0.5000  0.00

---

no.,M_tot (μB/f.u.)
1,0.00
2,0.82
3,1.69
4,0.01
5,0.00
6,0.00
7,0.00
8,14.95